*P*
VASP calculation (GGA-PBE) on a relaxed structure of AcNd3Sm5.

a b c (Å): 17.590 10.092 7.165
angles (deg): 90.00 90.00 90.00
Space group Cmcm (No. 63)
Inequivalent atoms, fractional coordinates:
1 Ac 0.000 0.158 0.250 (multiplicity 4)
2 Nd 0.000 0.500 0.000 (multiplicity 4)
3 Nd 0.172 0.000 0.000 (multiplicity 8)
4 Sm 0.000 0.183 0.750 (multiplicity 4)
5 Sm 0.168 0.330 0.750 (multiplicity 8)
6 Sm 0.169 0.338 0.250 (multiplicity 8)

**DOS(E_F)**: 12.619 states/eV/f.u.

=====

*Q*
VASP calculation (GGA-PBE) on a relaxed structure of AcNd3Sm5.

a b c (Å): 12.837 11.589 10.253
angles (deg): 90.00 105.49 90.00
Space group C2/m (No. 12)
Inequivalent atoms, fractional coordinates:
1 Ac 0.249 0.000 0.249 (multiplicity 4)
2 Nd 0.000 0.000 0.000 (multiplicity 2)
3 Nd 0.000 0.500 0.500 (multiplicity 2)
4 Nd 0.002 0.000 0.671 (multiplicity 4)
5 Nd 0.019 0.500 0.182 (multiplicity 4)
6 Sm 0.000 0.244 0.500 (multiplicity 4)
7 Sm 0.109 0.248 0.910 (multiplicity 8)
8 Sm 0.238 0.500 0.080 (multiplicity 4)
9 Sm 0.239 0.000 0.587 (multiplicity 4)

**DOS(E_F)**: 13.919 states/eV/f.u.

=====

The structure shown above that is most stable: *P*.